Computed, not measured: a relaxed TaSiSbI2 crystal at the GGA-PBE level of DFT.

Lattice parameters (Å, degrees): 5.435 5.435 5.564 90.00 90.00 90.00
Fractional positions:
1 I 0.000 0.500 0.000
2 I 0.500 0.000 0.000
3 Sb 0.000 0.000 0.500
4 Si 0.500 0.500 0.500
5 Ta 0.000 0.000 0.000

Properties
E: -4.0162 eV/atom
symmetry: P4/mmm
uncorrected formation energy: 426 kJ/mol of formula units
ΔE to the lowest computed polymorph: 0.00 eV/f.u.
magnetization: 1.49 μB/f.u.